No. 1
First-principles (GGA-PBE) data for a geometry-optimized Pa2Si3Ir4Rh structure, as listed in Alexandria.

Results
As for the uncorrected formation energy: -0.8637 eV per atom. The calculation puts the density of states at the Fermi level at 8.007 states/eV/cell. The value obtained for the mass density is 13.68 g/cm³. Its total energy is -8.6694 eV per atom.

Cell and atoms, written as POSCAR:
```
Pa2Si3Ir4Rh
1.0
3.964 0.000 0.000
0.000 3.964 0.000
0.000 0.000 10.956
Pa Si Ir Rh
2 3 4 1
Direct
0.500 0.000 0.257
0.000 0.500 0.743
0.000 0.000 0.500
0.500 0.000 0.880
0.000 0.500 0.120
0.500 0.500 0.000
0.000 0.000 0.000
0.500 0.000 0.668
0.000 0.500 0.332
0.500 0.500 0.500
```


No. 2
First-principles (GGA-PBE) data for a geometry-optimized Ba2MnRh structure, as listed in Alexandria.

Results
The calculation puts the density of states at the Fermi level at 2.716 states/eV/cell. The value obtained for the mass density is 5.38 g/cm³. Its formation energy is 82 meV/atom. Its total energy is -5.0098 eV per atom. The calculation puts the distance to the lowest polymorph of the same formula at 8.90 kJ per mole of atoms.

Cell and atoms, written as POSCAR:
```
Ba2MnRh
1.0
-0.587 -2.540 -3.492
-2.149 -3.334 2.786
-6.677 1.062 0.350
Ba Mn Rh
2 1 1
Direct
0.000 0.987 0.900
0.500 0.263 0.349
0.000 0.674 0.527
0.500 0.576 0.724
```


No. 3
First-principles (GGA-PBE) data for a geometry-optimized La2CrSe structure, as listed in Alexandria.

Results
As for the uncorrected formation energy: -0.5609 eV per atom. The calculation puts the density of states at the Fermi level at 2.318 states/eV/cell. The value obtained for the mass density is 5.83 g/cm³. Its total energy is -6.3016 eV per atom.

Cell and atoms, written as POSCAR:
```
La2CrSe
1.0
-2.906 1.164 -2.652
-3.897 -1.136 0.598
-3.539 6.625 3.610
Cr La Se
1 2 1
Direct
0.250 0.250 0.250
0.001 0.001 0.996
0.499 0.499 0.504
0.750 0.750 0.750
```


No. 4
First-principles (GGA-PBE) data for a geometry-optimized AcY2Co structure, as listed in Alexandria.

Results
The calculation puts the density of states at the Fermi level at 3.150 states/eV/cell. The value obtained for the mass density is 5.88 g/cm³. Its formation energy is 116 meV/atom. Its total energy is -5.9194 eV per atom. The calculation puts the distance to the lowest polymorph of the same formula at 17.82 kJ per mole of atoms.

Cell and atoms, written as POSCAR:
```
AcY2Co
1.0
3.791 0.000 0.000
1.895 3.283 0.000
1.895 1.094 10.517
Y Ac Co
2 1 1
Direct
0.119 0.119 0.643
0.881 0.881 0.357
0.000 0.000 0.000
0.500 0.500 0.500
```


No. 5
First-principles (GGA-PBE) data for a geometry-optimized Pm2GaSb structure, as listed in Alexandria.

Results
As for the uncorrected formation energy: -0.6955 eV per atom. The calculation puts the density of states at the Fermi level at 2.577 states/eV/cell. The value obtained for the mass density is 7.04 g/cm³. Its total energy is -4.8581 eV per atom. The calculation puts the distance to the lowest polymorph of the same formula at 15.37 kJ per mole of atoms.

Cell and atoms, written as POSCAR:
```
Pm2GaSb
1.0
4.925 0.000 0.000
2.462 4.265 0.000
2.462 1.422 5.406
Sb Ga Pm
1 1 2
Direct
0.000 0.000 0.000
0.500 0.500 0.500
0.754 0.754 0.737
0.246 0.246 0.263
```


No. 6
First-principles (GGA-PBE) data for a geometry-optimized KTmGa2Br6 structure, as listed in Alexandria.

Results
As for the uncorrected formation energy: -1.3174 eV per atom. The calculation puts the density of states at the Fermi level at 0.000 states/eV/cell. The value obtained for the mass density is 3.75 g/cm³. Its total energy is -3.4834 eV per atom.

Cell and atoms, written as POSCAR:
```
KTmGa2Br6
1.0
7.811 0.002 0.001
3.908 6.765 0.001
3.907 2.256 6.924
K Tm Ga Br
1 1 2 6
Direct
0.816 0.816 0.553
0.325 0.325 0.025
0.517 0.517 0.450
0.010 0.010 0.969
0.566 0.228 0.237
0.228 0.969 0.237
0.969 0.566 0.237
0.399 0.695 0.768
0.695 0.137 0.769
0.137 0.399 0.769
```


No. 7
First-principles (GGA-PBE) data for a geometry-optimized CoSiS2 structure, as listed in Alexandria.

Results
As for the uncorrected formation energy: -0.0391 eV per atom. The calculation puts the density of states at the Fermi level at 1.360 states/eV/cell. The value obtained for the mass density is 3.74 g/cm³. Its total energy is -5.2351 eV per atom.

Cell and atoms, written as POSCAR:
```
CoSiS2
1.0
-7.317 -0.490 0.614
-6.237 -2.438 3.052
-6.418 0.827 3.505
S Co Si
2 1 1
Direct
0.888 0.888 0.888
0.112 0.112 0.112
0.500 0.500 0.500
0.000 0.000 0.000
```


No. 8
First-principles (GGA-PBE) data for a geometry-optimized Tc3IBr structure, as listed in Alexandria.

Results
As for the uncorrected formation energy: 1.8501 eV per atom. The calculation puts the density of states at the Fermi level at 5.684 states/eV/cell. The value obtained for the mass density is 8.17 g/cm³. Its total energy is -5.0141 eV per atom. The calculation puts the distance to the lowest polymorph of the same formula at 0.00 kJ per mole of atoms.

Cell and atoms, written as POSCAR:
```
Tc3IBr
1.0
-0.698 3.265 -3.264
-4.616 -0.404 0.583
0.126 3.314 3.288
I Tc Br
1 3 1
Direct
0.500 0.500 0.500
0.000 0.500 0.000
0.000 0.000 0.500
0.500 0.000 0.000
0.000 0.000 0.000
```


No. 9
First-principles (GGA-PBE) data for a geometry-optimized PrNdTh2Bi5 structure, as listed in Alexandria.

Results
The calculation puts the density of states at the Fermi level at 4.717 states/eV/cell. The value obtained for the mass density is 8.11 g/cm³. Its formation energy is 136 meV/atom. Its total energy is -4.7297 eV per atom.

Cell and atoms, written as POSCAR:
```
PrNdTh2Bi5
1.0
5.536 0.000 0.000
0.000 5.536 0.000
0.000 0.000 11.984
Pr Nd Th Bi
1 1 2 5
Direct
0.000 0.000 0.000
0.000 0.000 0.500
0.500 0.500 0.305
0.500 0.500 0.695
0.000 0.500 0.500
0.500 0.000 0.500
0.000 0.000 0.751
0.000 0.000 0.249
0.500 0.500 0.000
```


No. 10
First-principles (GGA-PBE) data for a geometry-optimized Zr3Cu3Bi4 structure, as listed in Alexandria.

Results
The calculation puts the density of states at the Fermi level at 17.435 states/eV/cell. The value obtained for the mass density is 9.82 g/cm³. Its formation energy is -10 meV/atom. Its total energy is -5.3552 eV per atom.

Cell and atoms, written as POSCAR:
```
Zr3Cu3Bi4
1.0
7.822 0.000 -2.765
-3.911 6.774 -2.765
0.000 0.000 8.296
Zr Cu Bi
6 6 8
Direct
0.625 0.750 0.875
0.875 0.250 0.625
0.125 0.375 0.250
0.375 0.125 0.750
0.250 0.875 0.125
0.750 0.625 0.375
0.125 0.750 0.375
0.375 0.250 0.125
0.625 0.875 0.250
0.875 0.625 0.750
0.250 0.375 0.625
0.750 0.125 0.875
0.000 0.000 0.323
0.500 0.323 0.500
0.677 0.177 0.177
0.000 0.000 0.823
0.823 0.500 0.000
0.500 0.823 0.500
0.323 0.500 0.000
0.177 0.677 0.677
```


Among the records above, which one has the lowest density of states at the Fermi level? KTmGa2Br6


Among the records above, which one has the lowest mass density? CoSiS2


Copy entry 6 word for word.
First-principles (GGA-PBE) data for a geometry-optimized KTmGa2Br6 structure, as listed in Alexandria.

Results
As for the uncorrected formation energy: -1.3174 eV per atom. The calculation puts the density of states at the Fermi level at 0.000 states/eV/cell. The value obtained for the mass density is 3.75 g/cm³. Its total energy is -3.4834 eV per atom.

Cell and atoms, written as POSCAR:
```
KTmGa2Br6
1.0
7.811 0.002 0.001
3.908 6.765 0.001
3.907 2.256 6.924
K Tm Ga Br
1 1 2 6
Direct
0.816 0.816 0.553
0.325 0.325 0.025
0.517 0.517 0.450
0.010 0.010 0.969
0.566 0.228 0.237
0.228 0.969 0.237
0.969 0.566 0.237
0.399 0.695 0.768
0.695 0.137 0.769
0.137 0.399 0.769
```


The highest density of states at the Fermi level belongs to which entry? Zr3Cu3Bi4